An optimized crystal structure of NaLa2W. Source: Alexandria, functional PBE.

abc: 8.480 8.480 6.940
angles: 52.34 52.34 90.00
Fractional coordinates of all 8 atoms:
Na 0.500 0.500 0.000
Na 0.250 0.750 0.500
W 0.000 0.000 0.000
W 0.750 0.250 0.500
La 0.698 0.125 0.250
La 0.052 0.625 0.250
La 0.375 0.302 0.750
La 0.875 0.948 0.750

energy above the lowest structure with this stoichiometry: 297 meV per atom
total magnetic moment: 0.0 μB per formula unit
ΔH_f (0 K): 0.890 eV/atom
SG: No. 122

An optimized crystal structure of VCrGaCu2. Source: Alexandria, functional PBE.

abc: 4.634 4.106 4.634
angles: 90.00 90.00 90.00
Site moments in Bohr magnetons follow the coordinates.
Fractional coordinates of all 5 atoms:
Cr 0.000 0.500 0.000  1.98
Cu 0.000 0.000 0.500  -0.08
Cu 0.500 0.000 0.000  -0.06
Ga 0.500 0.500 0.500  -0.02
V 0.000 0.000 0.000  -1.20

total magnetic moment: 0.6 μB per formula unit
ΔH_f (0 K): 1.102 eV/atom
SG: No. 123

An optimized crystal structure of ThTcSnRu. Source: Alexandria, functional PBE.

abc: 4.802 4.802 4.802
angles: 60.00 60.00 60.00
Fractional coordinates of all 4 atoms:
Ru 0.750 0.750 0.750
Sn 0.500 0.500 0.500
Th 0.000 0.000 0.000
Tc 0.250 0.250 0.250

total magnetic moment: 0.0 μB per formula unit
ΔH_f (0 K): -0.243 eV/atom
SG: No. 216

| no. | theoretical density (g/cm³) |
| --- | --- |
| 1 | 6.41 |
| 2 | 5.64 |
| 3 | 11.66 |